(1)
The following is a DFT calculation (PBE) of crystalline Sr3Cl5F at its relaxed geometry.

POSCAR file:
```
Sr3Cl5F
1.0
-6.5868 2.1771 3.8677
-0.9980 -5.4711 5.6706
3.1568 4.2040 8.0481
Cl F Sr
10 2 6
Direct
0.4744 0.4744 0.3437 Cl
0.3750 0.0021 0.3679 Cl
0.7643 0.7643 0.0629 Cl
0.7042 0.2958 0.0000 Cl
0.2958 0.7042 0.0000 Cl
0.0021 0.3750 0.3679 Cl
0.9979 0.6250 0.6321 Cl
0.2357 0.2357 0.9371 Cl
0.6250 0.9979 0.6321 Cl
0.5256 0.5256 0.6563 Cl
0.0808 0.0808 0.7093 F
0.9192 0.9192 0.2907 F
0.0000 0.0000 0.0000 Sr
0.2901 0.2901 0.6187 Sr
0.6589 0.6589 0.8421 Sr
0.3411 0.3411 0.1579 Sr
0.0000 0.0000 0.5000 Sr
0.7099 0.7099 0.3813 Sr
```

Computed properties:
magnetization = 0.00 Bohr magnetons per cell
symmetry = No. 12
energy relative to the elements, uncorrected = -2.67 eV/atom
E = -80.3 eV per cell

=====

(2)
The following is a DFT calculation (PBE) of crystalline RbZr4Br7 at its relaxed geometry.

POSCAR file:
```
RbZr4Br7
1.0
5.3542 0.0000 0.0000
0.0000 5.7269 0.0000
0.0000 0.0000 20.8140
Zr Br Rb
8 14 2
Direct
0.0129 0.1869 0.6459 Zr
0.5130 0.1638 0.7437 Zr
0.0130 0.8362 0.7563 Zr
0.0129 0.1869 0.3541 Zr
0.5130 0.1638 0.2563 Zr
0.0130 0.8362 0.2437 Zr
0.5129 0.8131 0.1459 Zr
0.5129 0.8131 0.8541 Zr
0.0129 0.8235 0.1114 Br
0.5129 0.6658 0.2729 Br
0.0129 0.3342 0.2271 Br
0.5129 0.6658 0.7271 Br
0.0129 0.8235 0.8886 Br
0.5129 0.2960 0.8793 Br
0.0129 0.2118 0.5000 Br
0.5129 0.2960 0.1207 Br
0.0129 0.7040 0.3793 Br
0.0129 0.7040 0.6207 Br
0.5129 0.1765 0.3886 Br
0.0129 0.3342 0.7729 Br
0.5129 0.7882 0.0000 Br
0.5129 0.1765 0.6114 Br
0.5126 0.6809 0.5000 Rb
0.0126 0.3191 0.0000 Rb
```

Computed properties:
magnetization = 0.00 Bohr magnetons per cell
symmetry = No. 59
energy relative to the elements, uncorrected = -0.98 eV/atom
E = -117.3 eV per cell

=====

(3)
The following is a DFT calculation (PBE) of crystalline PaTiTc2 at its relaxed geometry.

POSCAR file:
```
PaTiTc2
1.0
-0.1801 -1.9108 2.6819
4.5768 -0.7313 -0.2136
0.7185 3.7103 2.6918
Tc Ti Pa
2 1 1
Direct
0.0000 0.5000 0.0000 Tc
0.0000 0.0000 0.5000 Tc
0.5000 0.0000 0.0000 Ti
0.5000 0.5000 0.5000 Pa
```

Computed properties:
magnetization = 0.00 Bohr magnetons per cell
symmetry = No. 123
formation energy = -1.31 eV/f.u.
E = -39.4 eV per cell
polymorph energy (0 for the lowest one) = 19.1 meV/atom

=====

(4)
The following is a DFT calculation (PBE) of crystalline ScBe2Ag at its relaxed geometry.

POSCAR file:
```
ScBe2Ag
1.0
0.0000 3.0157 3.0157
3.0157 0.0000 3.0157
3.0157 3.0157 0.0000
Be Sc Ag
2 1 1
Direct
0.7500 0.7500 0.7500 Be
0.2500 0.2500 0.2500 Be
0.0000 0.0000 0.0000 Sc
0.5000 0.5000 0.5000 Ag
```

Computed properties:
magnetization = 0.00 Bohr magnetons per cell
symmetry = No. 225
formation energy = -0.03 eV/f.u.
E = -16.7 eV per cell
polymorph energy (0 for the lowest one) = 0.0 meV/atom

=====

(5)
The following is a DFT calculation (PBE) of crystalline Cs3Ce3PuSe8 at its relaxed geometry.

POSCAR file:
```
Cs3Ce3PuSe8
1.0
-4.9700 7.0010 1.3559
-2.3712 -7.7063 3.2378
7.5200 4.4658 4.5050
Se Cs Ce Pu
8 3 3 1
Direct
0.2710 0.5421 0.3127 Se
0.2265 0.9544 0.6812 Se
0.2722 0.0456 0.3188 Se
0.7736 0.5471 0.3188 Se
0.7290 0.4579 0.6873 Se
0.2264 0.4529 0.6812 Se
0.7278 0.9544 0.6812 Se
0.7735 0.0456 0.3188 Se
0.0000 0.5000 0.0000 Cs
0.0000 0.0000 0.0000 Cs
0.5000 0.5000 0.0000 Cs
0.5000 0.0000 0.5000 Ce
0.5000 0.5000 0.5000 Ce
0.0000 0.5000 0.5000 Ce
0.0000 0.0000 0.5000 Pu
```

Computed properties:
magnetization = 7.01 Bohr magnetons per cell
symmetry = No. 12
energy relative to the elements, uncorrected = -1.63 eV/atom
E = -87.1 eV per cell

=====

(6)
The following is a DFT calculation (PBE) of crystalline PrScRh at its relaxed geometry.

POSCAR file:
```
PrScRh
1.0
4.7768 0.0000 0.0000
2.3884 4.1368 0.0000
2.3884 1.3789 3.9002
Sc Pr Rh
1 1 1
Direct
0.0000 0.0000 0.0000 Sc
0.5000 0.5000 0.5000 Pr
0.2500 0.2500 0.2500 Rh
```

Computed properties:
magnetization = 0.00 Bohr magnetons per cell
symmetry = No. 216
formation energy = -1.30 eV/f.u.
E = -19.8 eV per cell
polymorph energy (0 for the lowest one) = 105.5 meV/atom

=====

(7)
The following is a DFT calculation (PBE) of crystalline Rb2AcErO4 at its relaxed geometry.

POSCAR file:
```
Rb2AcErO4
1.0
-3.5061 -0.8822 0.6698
-0.3423 -2.9459 -5.6719
2.0725 -4.6641 4.7059
Rb Ac O Er
2 1 4 1
Direct
0.0000 0.5000 0.5000 Rb
0.5000 0.0000 0.5000 Rb
0.5000 0.5000 0.0000 Ac
0.0000 0.2482 0.8196 O
0.5000 0.7917 0.8230 O
0.5000 0.2083 0.1770 O
0.0000 0.7518 0.1804 O
0.0000 0.0000 0.0000 Er
```

Computed properties:
magnetization = 0.00 Bohr magnetons per cell
symmetry = No. 10
energy relative to the elements, uncorrected = -2.58 eV/atom
E = -51.1 eV per cell

=====

(8)
The following is a DFT calculation (PBE) of crystalline ZrTaRh at its relaxed geometry.

POSCAR file:
```
ZrTaRh
1.0
4.6005 0.0000 0.0000
-2.3002 3.9841 0.0000
0.0000 0.0000 2.9505
Ta Zr Rh
1 1 1
Direct
0.6667 0.3333 0.2897 Ta
0.3333 0.6667 0.6842 Zr
0.0000 0.0000 0.0261 Rh
```

Computed properties:
magnetization = 0.00 Bohr magnetons per cell
symmetry = No. 156
formation energy = -0.42 eV/f.u.
E = -28.2 eV per cell
polymorph energy (0 for the lowest one) = 271.0 meV/atom